Record 1
The following is a DFT calculation (GGA-PBE) of a relaxed Li2RhF4 crystal. Values from VASP.

The structure in Quantum ESPRESSO input format:
```
&SYSTEM
  ibrav = 0, nat = 7, ntyp = 3
/
ATOMIC_SPECIES
Li 6.94 Li.upf
Rh 102.91 Rh.upf
F 19.00 F.upf
CELL_PARAMETERS angstrom
-2.629 2.629 3.292
2.629 -2.629 3.292
2.629 2.629 -3.292
ATOMIC_POSITIONS angstrom
Li 2.629 0.000 1.646
Li 0.000 2.629 1.646
Rh 0.000 0.000 0.000
F 1.327 -1.327 2.206
F 1.302 1.302 1.086
F -1.327 1.327 2.206
F 1.327 1.327 4.378
```

Output
formation energy from raw total energies: -1.941 eV per atom
SG: No. 121
total DFT energy (no corrections): -4.607 eV per atom
energy relative to the lowest polymorph listed for this composition: 170 meV per atom

***

Record 2
The following is a DFT calculation (GGA-PBE) of a relaxed KBaPaN3 crystal. Values from VASP.

The structure in Quantum ESPRESSO input format:
```
&SYSTEM
  ibrav = 0, nat = 12, ntyp = 4
/
ATOMIC_SPECIES
K 39.10 K.upf
Ba 137.33 Ba.upf
Pa 231.04 Pa.upf
N 14.01 N.upf
CELL_PARAMETERS angstrom
3.285 -6.437 0.000
3.285 6.437 0.000
-1.537 0.000 6.098
ATOMIC_POSITIONS angstrom
K 2.132 5.535 4.574
K 2.901 -5.535 1.525
Ba 2.901 3.029 1.525
Ba 2.132 -3.029 4.574
Pa 2.132 0.784 4.574
Pa 2.901 -0.784 1.525
N 2.098 0.723 0.214
N 2.132 2.841 4.574
N 1.329 -0.723 3.263
N 3.703 0.723 2.835
N 2.901 -2.841 1.525
N 2.934 -0.723 5.884
```

Output
formation energy from raw total energies: -0.702 eV per atom
SG: No. 15
total DFT energy (no corrections): -6.950 eV per atom

***

Record 3
The following is a DFT calculation (GGA-PBE) of a relaxed LiPbAu6 crystal. Values from VASP.

The structure in Quantum ESPRESSO input format:
```
&SYSTEM
  ibrav = 0, nat = 8, ntyp = 3
/
ATOMIC_SPECIES
Li 6.94 Li.upf
Pb 207.20 Pb.upf
Au 196.97 Au.upf
CELL_PARAMETERS angstrom
4.779 0.000 0.000
0.000 3.465 4.677
0.000 -3.465 4.677
ATOMIC_POSITIONS angstrom
Li 0.000 0.000 0.000
Pb 2.390 0.000 2.484
Au 0.000 0.000 4.396
Au 0.000 -1.478 6.909
Au 0.000 1.478 6.909
Au 2.390 -1.512 5.080
Au 2.390 1.512 5.080
Au 2.390 0.000 7.688
```

Output
SG: No. 38
total DFT energy (no corrections): -3.283 eV per atom